Compound: Mg2Bi2Sb
Source: Alexandria
Functional: PBE
Structure: relaxed

Computed properties:
DFT total energy   -3.02 eV/atom
Crystal system   tetragonal
ΔE to the lowest computed polymorph   0 meV per atom
Formation energy (no corrections)   -0.0098 eV/atom

The structure in CIF format:
```
data_Mg2Bi2Sb
_chemical_formula_sum 'Mg4 Bi4 Sb2'
_symmetry_space_group_name_H-M 'P 4/m b m'
_symmetry_Int_Tables_number 127
_symmetry_space_group_name_Hall '-P 4 2ab'
_cell_length_a 9.1318
_cell_length_b 9.1318
_cell_length_c 3.3805
_cell_angle_alpha 90.00
_cell_angle_beta 90.00
_cell_angle_gamma 90.00
loop_
_atom_site_label
_atom_site_fract_x
_atom_site_fract_y
_atom_site_fract_z
Mg1 0.1359 0.3641 0.0000
Bi1 0.1643 0.6643 0.5000
Sb1 0.0000 0.0000 0.5000
```



Compound: Tm5Si2Ge
Source: Alexandria
Functional: PBE
Structure: relaxed

Computed properties:
DFT total energy   -5.41 eV/atom
Crystal system   tetragonal
Formation energy (no corrections)   -0.6861 eV/atom

The structure in CIF format:
```
data_Tm5Si2Ge
_chemical_formula_sum 'Tm20 Si8 Ge4'
_symmetry_space_group_name_H-M 'I 4/m c m'
_symmetry_Int_Tables_number 140
_symmetry_space_group_name_Hall '-I 4 2c'
_cell_length_a 7.5210
_cell_length_b 7.5210
_cell_length_c 13.1855
_cell_angle_alpha 90.00
_cell_angle_beta 90.00
_cell_angle_gamma 90.00
loop_
_atom_site_label
_atom_site_fract_x
_atom_site_fract_y
_atom_site_fract_z
Tm1 0.0000 0.0000 0.0000
Tm2 0.1643 0.3357 0.1446
Si1 0.1330 0.3670 0.5000
Ge1 0.0000 0.0000 0.2500
```



Compound: Sr2Pd3Pb4
Source: Alexandria
Functional: PBE
Structure: relaxed

Computed properties:
DFT total energy   -4.20 eV/atom
Crystal system   orthorhombic
DFT formation energy   -4.0 eV per formula unit

The structure in CIF format:
```
data_Sr2Pd3Pb4
_chemical_formula_sum 'Sr8 Pd12 Pb16'
_symmetry_space_group_name_H-M 'F m m m'
_symmetry_Int_Tables_number 69
_symmetry_space_group_name_Hall '-F 2 2'
_cell_length_a 6.0351
_cell_length_b 10.7630
_cell_length_c 14.4892
_cell_angle_alpha 90.00
_cell_angle_beta 90.00
_cell_angle_gamma 90.00
loop_
_atom_site_label
_atom_site_fract_x
_atom_site_fract_y
_atom_site_fract_z
Sr1 0.0000 0.0000 0.1250
Pd1 0.0000 0.0000 0.5000
Pd2 0.2500 0.2500 0.0000
Pb1 0.0000 0.1654 0.3449
```



Compound: PrPuMg
Source: Alexandria
Functional: PBE
Structure: relaxed

Computed properties:
DFT total energy   -6.77 eV/atom
Crystal system   tetragonal
ΔE to the lowest computed polymorph   0 meV per atom
DFT formation energy   0.4 eV per formula unit

The structure in CIF format:
```
data_PrPuMg
_chemical_formula_sum 'Pr2 Pu2 Mg2'
_symmetry_space_group_name_H-M 'I 4 m m'
_symmetry_Int_Tables_number 107
_symmetry_space_group_name_Hall 'I 4 -2'
_cell_length_a 3.4192
_cell_length_b 3.4192
_cell_length_c 15.0075
_cell_angle_alpha 90.00
_cell_angle_beta 90.00
_cell_angle_gamma 90.00
loop_
_atom_site_label
_atom_site_fract_x
_atom_site_fract_y
_atom_site_fract_z
Pr1 0.0000 0.0000 0.0000
Pu1 0.0000 0.0000 0.6757
Mg1 0.0000 0.0000 0.3335
```



Compound: Sr2LaSb3Rh4
Source: Alexandria
Functional: PBE
Structure: relaxed

Computed properties:
DFT total energy   -5.78 eV/atom
Crystal system   tetragonal
Formation energy (no corrections)   -0.7698 eV/atom

The structure in CIF format:
```
data_Sr2LaSb3Rh4
_chemical_formula_sum 'Sr2 La1 Sb3 Rh4'
_symmetry_space_group_name_H-M 'P -4 m 2'
_symmetry_Int_Tables_number 115
_symmetry_space_group_name_Hall 'P -4 -2'
_cell_length_a 4.6130
_cell_length_b 4.6130
_cell_length_c 11.1261
_cell_angle_alpha 90.00
_cell_angle_beta 90.00
_cell_angle_gamma 90.00
loop_
_atom_site_label
_atom_site_fract_x
_atom_site_fract_y
_atom_site_fract_z
Sr1 0.0000 0.5000 0.2277
La1 0.0000 0.0000 0.5000
Sb1 0.0000 0.5000 0.8773
Sb2 0.5000 0.5000 0.5000
Rh1 0.0000 0.0000 0.0000
Rh2 0.0000 0.5000 0.6432
Rh3 0.5000 0.5000 0.0000
```



Compound: ZrCrOs2
Source: Alexandria
Functional: PBE
Structure: relaxed

Computed properties:
DFT total energy   -9.72 eV/atom
Crystal system   tetragonal
DFT formation energy   1.7 eV per formula unit

The structure in CIF format:
```
data_ZrCrOs2
_chemical_formula_sum 'Zr4 Cr4 Os8'
_symmetry_space_group_name_H-M 'I -4 2 d'
_symmetry_Int_Tables_number 122
_symmetry_space_group_name_Hall 'I -4 2bw'
_cell_length_a 7.1399
_cell_length_b 7.1399
_cell_length_c 5.2920
_cell_angle_alpha 90.00
_cell_angle_beta 90.00
_cell_angle_gamma 90.00
loop_
_atom_site_label
_atom_site_fract_x
_atom_site_fract_y
_atom_site_fract_z
Zr1 0.0000 0.0000 0.0000
Cr1 0.0000 0.0000 0.5000
Os1 0.1948 0.2500 0.6250
```



Compound: K5H6Os
Source: Alexandria
Functional: PBE
Structure: relaxed

Computed properties:
DFT total energy   -3.17 eV/atom
Crystal system   monoclinic

The structure in CIF format:
```
data_K5H6Os
_chemical_formula_sum 'K10 H12 Os2'
_symmetry_space_group_name_H-M 'C 1 2/m 1'
_symmetry_Int_Tables_number 12
_symmetry_space_group_name_Hall '-C 2y'
_cell_length_a 5.8770
_cell_length_b 15.3825
_cell_length_c 5.9361
_cell_angle_alpha 90.00
_cell_angle_beta 102.06
_cell_angle_gamma 90.00
loop_
_atom_site_label
_atom_site_fract_x
_atom_site_fract_y
_atom_site_fract_z
K1 0.0000 0.0000 0.0000
K2 0.0000 0.1344 0.5000
K3 0.0000 0.3708 0.0000
H1 0.1705 0.4220 0.6685
H2 0.1931 0.5000 0.3092
Os1 0.0000 0.5000 0.5000
```



Compound: KHgIN2
Source: Alexandria
Functional: PBE
Structure: relaxed

Computed properties:
DFT total energy   -2.75 eV/atom
Crystal system   tetragonal
ΔE to the lowest computed polymorph   0 meV per atom
Formation energy (no corrections)   1.1739 eV/atom

The structure in CIF format:
```
data_KHgIN2
_chemical_formula_sum 'K1 Hg1 I1 N2'
_symmetry_space_group_name_H-M 'P 4/m m m'
_symmetry_Int_Tables_number 123
_symmetry_space_group_name_Hall '-P 4 2'
_cell_length_a 4.6708
_cell_length_b 4.6708
_cell_length_c 6.6855
_cell_angle_alpha 90.00
_cell_angle_beta 90.00
_cell_angle_gamma 90.00
loop_
_atom_site_label
_atom_site_fract_x
_atom_site_fract_y
_atom_site_fract_z
K1 0.0000 0.0000 0.0000
Hg1 0.5000 0.5000 0.5000
I1 0.5000 0.5000 0.0000
N1 0.0000 0.5000 0.5000
```



Compound: Bi2AsOs2
Source: Alexandria
Functional: PBE
Structure: relaxed

Computed properties:
DFT total energy   -6.27 eV/atom
Crystal system   tetragonal
ΔE to the lowest computed polymorph   0 meV per atom
DFT formation energy   3.5 eV per formula unit

The structure in CIF format:
```
data_Bi2AsOs2
_chemical_formula_sum 'Bi4 As2 Os4'
_symmetry_space_group_name_H-M 'I 4/m m m'
_symmetry_Int_Tables_number 139
_symmetry_space_group_name_Hall '-I 4 2'
_cell_length_a 3.6441
_cell_length_b 3.6441
_cell_length_c 17.1493
_cell_angle_alpha 90.00
_cell_angle_beta 90.00
_cell_angle_gamma 90.00
loop_
_atom_site_label
_atom_site_fract_x
_atom_site_fract_y
_atom_site_fract_z
Bi1 0.0000 0.0000 0.1122
As1 0.0000 0.0000 0.5000
Os1 0.0000 0.5000 0.2500
```



Compound: MgGa
Source: Alexandria
Functional: PBE
Structure: relaxed

Computed properties:
DFT total energy   -2.07 eV/atom
Crystal system   cubic
DFT formation energy   0.5 eV per formula unit

The structure in CIF format:
```
data_MgGa
_chemical_formula_sum 'Mg8 Ga8'
_symmetry_space_group_name_H-M 'I -4 3 m'
_symmetry_Int_Tables_number 217
_symmetry_space_group_name_Hall 'I -4 2 3'
_cell_length_a 8.1378
_cell_length_b 8.1378
_cell_length_c 8.1378
_cell_angle_alpha 90.00
_cell_angle_beta 90.00
_cell_angle_gamma 90.00
loop_
_atom_site_label
_atom_site_fract_x
_atom_site_fract_y
_atom_site_fract_z
Mg1 0.2008 0.2008 0.2008
Ga1 0.1165 0.1165 0.8835
```



Compound: SmDyOs
Source: Alexandria
Functional: PBE
Structure: relaxed

Computed properties:
DFT total energy   -7.01 eV/atom
Crystal system   tetragonal
ΔE to the lowest computed polymorph   0 meV per atom
DFT formation energy   -0.5 eV per formula unit

The structure in CIF format:
```
data_SmDyOs
_chemical_formula_sum 'Sm2 Dy2 Os2'
_symmetry_space_group_name_H-M 'I 4 m m'
_symmetry_Int_Tables_number 107
_symmetry_space_group_name_Hall 'I 4 -2'
_cell_length_a 3.4238
_cell_length_b 3.4238
_cell_length_c 13.4287
_cell_angle_alpha 90.00
_cell_angle_beta 90.00
_cell_angle_gamma 90.00
loop_
_atom_site_label
_atom_site_fract_x
_atom_site_fract_y
_atom_site_fract_z
Sm1 0.0000 0.0000 0.0000
Dy1 0.0000 0.0000 0.2495
Os1 0.0000 0.0000 0.6282
```



Compound: KZn2P
Source: Alexandria
Functional: PBE
Structure: relaxed

Computed properties:
DFT total energy   -2.09 eV/atom
Crystal system   monoclinic
DFT formation energy   0.7 eV per formula unit

The structure in CIF format:
```
data_KZn2P
_chemical_formula_sum 'K2 Zn4 P2'
_symmetry_space_group_name_H-M 'C 1 2/m 1'
_symmetry_Int_Tables_number 12
_symmetry_space_group_name_Hall '-C 2y'
_cell_length_a 7.6831
_cell_length_b 3.0198
_cell_length_c 7.9697
_cell_angle_alpha 90.00
_cell_angle_beta 95.26
_cell_angle_gamma 90.00
loop_
_atom_site_label
_atom_site_fract_x
_atom_site_fract_y
_atom_site_fract_z
K1 0.0000 0.0000 0.0000
Zn1 0.2357 0.0000 0.6711
P1 0.0000 0.5000 0.5000
```